(1)
! CrRu2Pb GGA-PBE optimized geometry; values from VASP
&SYSTEM
  ibrav = 0, nat = 16, ntyp = 3
/
ATOMIC_SPECIES
Cr 52.00 Cr.upf
Ru 101.07 Ru.upf
Pb 207.20 Pb.upf
ATOMIC_POSITIONS crystal
Cr 0.000 0.000 0.000
Cr 0.000 0.500 0.500
Cr 0.500 0.000 0.500
Cr 0.500 0.500 0.000
Ru 0.000 0.000 0.500
Ru 0.000 0.500 0.000
Ru 0.250 0.250 0.750
Ru 0.250 0.750 0.250
Ru 0.500 0.000 0.000
Ru 0.500 0.500 0.500
Ru 0.750 0.250 0.250
Ru 0.750 0.750 0.750
Pb 0.250 0.250 0.250
Pb 0.250 0.750 0.750
Pb 0.750 0.250 0.750
Pb 0.750 0.750 0.250
CELL_PARAMETERS angstrom
6.371 0.000 0.000
0.000 6.371 0.000
0.000 0.000 6.371
! Crystal system   cubic
! SG   No. 216
! V   259 Å³/cell
! Final energy   -7.314 eV/atom

***

(2)
! Ta2SnBr GGA-PBE optimized geometry; values from VASP
&SYSTEM
  ibrav = 0, nat = 16, ntyp = 3
/
ATOMIC_SPECIES
Ta 180.95 Ta.upf
Sn 118.71 Sn.upf
Br 79.90 Br.upf
ATOMIC_POSITIONS crystal
Ta 0.248 0.250 0.125
Ta 0.250 0.748 0.375
Ta 0.250 0.752 0.875
Ta 0.252 0.250 0.625
Ta 0.748 0.750 0.625
Ta 0.750 0.248 0.875
Ta 0.750 0.252 0.375
Ta 0.752 0.750 0.125
Sn 0.000 0.000 0.000
Sn 0.000 0.500 0.250
Sn 0.500 0.000 0.750
Sn 0.500 0.500 0.500
Br 0.000 0.000 0.500
Br 0.000 0.500 0.750
Br 0.500 0.000 0.250
Br 0.500 0.500 0.000
CELL_PARAMETERS angstrom
4.191 0.000 0.000
0.000 4.191 0.000
0.000 0.000 19.761
! E_form (uncorrected)   3.3 eV/f.u.
! Crystal system   tetragonal
! SG   No. 122
! V   347 Å³/cell

***

(3)
! PrZnAgPb GGA-PBE optimized geometry; values from VASP
&SYSTEM
  ibrav = 0, nat = 16, ntyp = 4
/
ATOMIC_SPECIES
Pr 140.91 Pr.upf
Zn 65.41 Zn.upf
Ag 107.87 Ag.upf
Pb 207.20 Pb.upf
ATOMIC_POSITIONS crystal
Pr 0.000 0.000 0.000
Pr 0.000 0.500 0.500
Pr 0.500 0.000 0.500
Pr 0.500 0.500 0.000
Zn 0.250 0.250 0.250
Zn 0.250 0.750 0.750
Zn 0.750 0.250 0.750
Zn 0.750 0.750 0.250
Ag 0.250 0.250 0.750
Ag 0.250 0.750 0.250
Ag 0.750 0.250 0.250
Ag 0.750 0.750 0.750
Pb 0.000 0.000 0.500
Pb 0.000 0.500 0.000
Pb 0.500 0.000 0.000
Pb 0.500 0.500 0.500
CELL_PARAMETERS angstrom
7.279 0.000 0.000
0.000 7.279 0.000
0.000 0.000 7.279
! Crystal system   cubic
! SG   No. 216
! V   386 Å³/cell
! Final energy   -3.405 eV/atom

***

(4)
! Pr3TiO6 GGA-PBE optimized geometry; values from VASP
&SYSTEM
  ibrav = 0, nat = 20, ntyp = 3
/
ATOMIC_SPECIES
Pr 140.91 Pr.upf
Ti 47.87 Ti.upf
O 16.00 O.upf
ATOMIC_POSITIONS crystal
Pr 0.102 0.898 0.500
Pr 0.212 0.412 0.540
Pr 0.412 0.212 0.040
Pr 0.588 0.788 0.540
Pr 0.788 0.588 0.040
Pr 0.898 0.102 0.000
Ti 0.310 0.690 0.073
Ti 0.690 0.310 0.573
O 0.094 0.607 0.234
O 0.144 0.170 0.272
O 0.170 0.144 0.772
O 0.281 0.719 0.752
O 0.393 0.906 0.234
O 0.464 0.536 0.200
O 0.536 0.464 0.700
O 0.607 0.094 0.734
O 0.719 0.281 0.252
O 0.830 0.856 0.272
O 0.856 0.830 0.772
O 0.906 0.393 0.734
CELL_PARAMETERS angstrom
4.706 -5.814 0.000
4.706 5.814 0.000
0.000 0.000 5.754
! E_form (uncorrected)   -31.8 eV/f.u.
! Crystal system   orthorhombic
! SG   No. 36
! V   315 Å³/cell

***

(5)
! Ce2DyB9 GGA-PBE optimized geometry; values from VASP
&SYSTEM
  ibrav = 0, nat = 12, ntyp = 3
/
ATOMIC_SPECIES
Ce 140.12 Ce.upf
Dy 162.50 Dy.upf
B 10.81 B.upf
ATOMIC_POSITIONS crystal
Ce 0.118 0.118 0.118
Ce 0.882 0.882 0.882
Dy 0.000 0.000 0.000
B 0.028 0.393 0.393
B 0.393 0.028 0.393
B 0.393 0.393 0.028
B 0.405 0.405 0.405
B 0.500 0.500 0.500
B 0.595 0.595 0.595
B 0.607 0.607 0.972
B 0.607 0.972 0.607
B 0.972 0.607 0.607
CELL_PARAMETERS angstrom
2.216 1.280 9.351
-2.216 1.280 9.351
0.000 -2.559 9.351
! Crystal system   trigonal
! SG   No. 166
! V   159 Å³/cell
! Final energy   -6.552 eV/atom

***

(6)
! MgIn4Pd15 GGA-PBE optimized geometry; values from VASP
&SYSTEM
  ibrav = 0, nat = 20, ntyp = 3
/
ATOMIC_SPECIES
Mg 24.30 Mg.upf
In 114.82 In.upf
Pd 106.42 Pd.upf
ATOMIC_POSITIONS crystal
Mg 0.000 0.000 0.000
In 0.000 0.000 0.197
In 0.000 0.000 0.399
In 0.000 0.000 0.601
In 0.000 0.000 0.803
Pd 0.000 0.500 0.097
Pd 0.000 0.500 0.298
Pd 0.000 0.500 0.500
Pd 0.000 0.500 0.702
Pd 0.000 0.500 0.903
Pd 0.500 0.000 0.097
Pd 0.500 0.000 0.298
Pd 0.500 0.000 0.500
Pd 0.500 0.000 0.702
Pd 0.500 0.000 0.903
Pd 0.500 0.500 0.000
Pd 0.500 0.500 0.197
Pd 0.500 0.500 0.399
Pd 0.500 0.500 0.601
Pd 0.500 0.500 0.803
CELL_PARAMETERS angstrom
4.016 0.000 0.000
0.000 4.016 0.000
0.000 0.000 20.187
! Crystal system   tetragonal
! SG   No. 123
! V   326 Å³/cell
! Final energy   -4.955 eV/atom

***

(7)
! HfZr3Be GGA-PBE optimized geometry; values from VASP
&SYSTEM
  ibrav = 0, nat = 5, ntyp = 3
/
ATOMIC_SPECIES
Hf 178.49 Hf.upf
Zr 91.22 Zr.upf
Be 9.01 Be.upf
ATOMIC_POSITIONS crystal
Hf 0.000 0.000 0.000
Zr 0.000 0.500 0.500
Zr 0.500 0.000 0.500
Zr 0.500 0.500 0.000
Be 0.500 0.500 0.500
CELL_PARAMETERS angstrom
4.780 0.000 0.000
0.000 4.780 0.000
0.000 0.000 4.780
! Crystal system   cubic
! SG   No. 221
! V   109 Å³/cell
! Final energy   -7.475 eV/atom

***

(8)
! MgZn6Ru2 GGA-PBE optimized geometry; values from VASP
&SYSTEM
  ibrav = 0, nat = 9, ntyp = 3
/
ATOMIC_SPECIES
Mg 24.30 Mg.upf
Zn 65.41 Zn.upf
Ru 101.07 Ru.upf
ATOMIC_POSITIONS crystal
Mg 0.000 0.000 0.000
Zn 0.108 0.108 0.652
Zn 0.223 0.223 0.342
Zn 0.331 0.331 0.997
Zn 0.669 0.669 0.003
Zn 0.777 0.777 0.658
Zn 0.892 0.892 0.348
Ru 0.451 0.451 0.677
Ru 0.549 0.549 0.323
CELL_PARAMETERS angstrom
5.823 -1.928 0.000
5.823 1.928 0.000
-1.942 0.000 5.826
! Crystal system   monoclinic
! SG   No. 12
! V   131 Å³/cell
! Final energy   -3.143 eV/atom

***

(9)
! SrGaN GGA-PBE optimized geometry; values from VASP
&SYSTEM
  ibrav = 0, nat = 12, ntyp = 3
/
ATOMIC_SPECIES
Sr 87.62 Sr.upf
Ga 69.72 Ga.upf
N 14.01 N.upf
ATOMIC_POSITIONS crystal
Sr 0.000 0.000 0.167
Sr 0.000 0.000 0.833
Sr 0.500 0.500 0.333
Sr 0.500 0.500 0.667
Ga 0.000 0.258 0.500
Ga 0.000 0.742 0.500
Ga 0.500 0.242 0.000
Ga 0.500 0.758 0.000
N 0.000 0.000 0.371
N 0.000 0.000 0.629
N 0.500 0.500 0.129
N 0.500 0.500 0.871
CELL_PARAMETERS angstrom
4.707 0.000 0.000
0.000 4.791 0.000
0.000 0.000 12.068
! E_form (uncorrected)   -0.4 eV/f.u.
! Crystal system   orthorhombic
! SG   No. 71
! V   272 Å³/cell

***

(10)
! CdCuBiIr2 GGA-PBE optimized geometry; values from VASP
&SYSTEM
  ibrav = 0, nat = 5, ntyp = 4
/
ATOMIC_SPECIES
Cd 112.41 Cd.upf
Cu 63.55 Cu.upf
Bi 208.98 Bi.upf
Ir 192.22 Ir.upf
ATOMIC_POSITIONS crystal
Cd 0.000 0.000 0.000
Cu 0.500 0.500 0.000
Bi 0.500 0.500 0.500
Ir 0.000 0.500 0.500
Ir 0.500 0.000 0.500
CELL_PARAMETERS angstrom
5.033 0.000 0.000
0.000 5.033 0.000
0.000 0.000 4.815
! Crystal system   tetragonal
! SG   No. 123
! V   122 Å³/cell
! Final energy   -3.865 eV/atom

***

(11)
! MgNp2Pd9 GGA-PBE optimized geometry; values from VASP
&SYSTEM
  ibrav = 0, nat = 12, ntyp = 3
/
ATOMIC_SPECIES
Mg 24.30 Mg.upf
Np 237.00 Np.upf
Pd 106.42 Pd.upf
ATOMIC_POSITIONS crystal
Mg 0.000 0.000 0.000
Np 0.000 0.000 0.325
Np 0.000 0.000 0.675
Pd 0.000 0.500 0.162
Pd 0.000 0.500 0.500
Pd 0.000 0.500 0.838
Pd 0.500 0.000 0.162
Pd 0.500 0.000 0.500
Pd 0.500 0.000 0.838
Pd 0.500 0.500 0.000
Pd 0.500 0.500 0.331
Pd 0.500 0.500 0.669
CELL_PARAMETERS angstrom
4.100 0.000 0.000
0.000 4.100 0.000
0.000 0.000 12.147
! Crystal system   tetragonal
! SG   No. 123
! V   204 Å³/cell
! Final energy   -6.651 eV/atom

***

(12)
! SmAlCd2Au4 GGA-PBE optimized geometry; values from VASP
&SYSTEM
  ibrav = 0, nat = 8, ntyp = 4
/
ATOMIC_SPECIES
Sm 150.36 Sm.upf
Al 26.98 Al.upf
Cd 112.41 Cd.upf
Au 196.97 Au.upf
ATOMIC_POSITIONS crystal
Sm 0.000 0.000 0.000
Al 0.500 0.500 0.500
Cd 0.249 0.249 0.249
Cd 0.751 0.751 0.751
Au 0.135 0.135 0.135
Au 0.393 0.393 0.393
Au 0.607 0.607 0.607
Au 0.865 0.865 0.865
CELL_PARAMETERS angstrom
2.339 1.350 8.640
-2.339 1.350 8.640
0.000 -2.701 8.640
! Crystal system   trigonal
! SG   No. 166
! V   164 Å³/cell
! Final energy   -3.347 eV/atom